[1]
Entry from Alexandria: crystalline HoGa2Sn at its relaxed geometry (PBE).

Unit cell a=3.6873 b=3.6873 c=6.5613 alpha=90.00 beta=90.00 gamma=90.00
Atoms (fractional coordinates):
Ho 0.5000 0.5000 0.5000
Ga 0.0000 0.0000 0.7712
Ga 0.0000 0.0000 0.2288
Sn 0.5000 0.5000 0.0000

Values from the calculation:
Its energy of formation from the pure elements is -0.29 eV/atom. As for the total energy: -3.953 eV/atom. The space-group type is P4/mmm (123). For the excess energy over the best structure of this formula in the dataset, the calculation gives 4.216 kcal/mol of atoms. For the magnetization, the calculation gives 0.000 μB/cell.



[2]
Entry from Alexandria: crystalline Ho2Ga2Sn at its relaxed geometry (PBE).

Unit cell a=4.0775 b=4.0731 c=7.2842 alpha=106.24 beta=90.00 gamma=90.00
Atoms (fractional coordinates):
Ga 0.0000 0.7995 0.5990
Ga 0.0000 0.2005 0.4010
Ho 0.5000 0.3686 0.7373
Ho 0.5000 0.6314 0.2627
Sn 0.0000 0.0000 0.0000

Values from the calculation:
Its energy of formation from the pure elements is -0.61 eV/atom. As for the total energy: -4.450 eV/atom. The space-group type is Cmmm (65). For the excess energy over the best structure of this formula in the dataset, the calculation gives 1.091 kcal/mol of atoms. For the magnetization, the calculation gives 0.000 μB/cell.



[3]
Entry from Alexandria: crystalline HoGaSn at its relaxed geometry (PBE).

Unit cell a=3.6225 b=3.6225 c=6.0038 alpha=107.56 beta=107.56 gamma=90.00
Atoms (fractional coordinates):
Sn 0.0195 0.0195 0.0391
Ho 0.3261 0.3261 0.6521
Ga 0.6544 0.6544 0.3088

Values from the calculation:
Its energy of formation from the pure elements is -0.35 eV/atom. As for the total energy: -4.224 eV/atom. The space-group type is I4mm (107). For the magnetization, the calculation gives 0.003 μB/cell.



[4]
Entry from Alexandria: crystalline HoGaSn at its relaxed geometry (PBE).

Unit cell a=4.1913 b=4.4076 c=8.0685 alpha=105.85 beta=90.00 gamma=90.00
Atoms (fractional coordinates):
Ho 0.2500 0.0904 0.1809
Ho 0.7500 0.9096 0.8191
Sn 0.2500 0.7439 0.4878
Sn 0.7500 0.2561 0.5122
Ga 0.7500 0.5525 0.1049
Ga 0.2500 0.4475 0.8951

Values from the calculation:
Its energy of formation from the pure elements is -0.49 eV/atom. As for the total energy: -4.362 eV/atom. The space-group type is Cmcm (63). For the magnetization, the calculation gives 0.000 μB/cell.



[5]
Entry from Alexandria: crystalline Ho12Ga6Sn at its relaxed geometry (PBE).

Unit cell a=8.6736 b=8.6737 c=8.6736 alpha=109.47 beta=109.47 gamma=109.47
Atoms (fractional coordinates):
Ho 0.1884 0.7058 0.8942
Ho 0.5173 0.8116 0.7058
Ho 0.8116 0.7058 0.5173
Ho 0.4827 0.1884 0.2942
Ho 0.8116 0.2942 0.1058
Ho 0.2942 0.1058 0.8116
Ho 0.1058 0.8116 0.2942
Ho 0.7058 0.8942 0.1884
Ho 0.1884 0.2942 0.4827
Ho 0.7058 0.5173 0.8116
Ho 0.2942 0.4827 0.1884
Ho 0.8942 0.1884 0.7058
Ga 0.1228 0.6228 0.5000
Ga 0.8772 0.3772 0.5000
Ga 0.6228 0.5000 0.1228
Ga 0.5000 0.1228 0.6228
Ga 0.5000 0.8772 0.3772
Ga 0.3772 0.5000 0.8772
Sn 0.0000 0.0000 0.0000

Values from the calculation:
Its energy of formation from the pure elements is -0.41 eV/atom. As for the total energy: -4.471 eV/atom. The space-group type is Im-3 (204). For the magnetization, the calculation gives 0.000 μB/cell.



[6]
Entry from Alexandria: crystalline Ho2Ga2Sn7 at its relaxed geometry (PBE).

Unit cell a=7.4620 b=5.6626 c=7.4620 alpha=75.69 beta=97.92 gamma=104.31
Atoms (fractional coordinates):
Sn 0.5819 0.7715 0.0205
Sn 0.4316 0.2115 0.5684
Sn 0.0205 0.2285 0.5819
Sn 0.0000 0.0000 0.0000
Sn 0.4181 0.2285 0.9795
Sn 0.9795 0.7715 0.4181
Sn 0.5684 0.7885 0.4316
Ho 0.8084 0.5000 0.8084
Ho 0.1916 0.5000 0.1916
Ga 0.7793 0.2519 0.2207
Ga 0.2207 0.7481 0.7793

Values from the calculation:
Its energy of formation from the pure elements is -0.17 eV/atom. As for the total energy: -4.102 eV/atom. The space-group type is C2/m (12). For the magnetization, the calculation gives 0.000 μB/cell.



[7]
Entry from Alexandria: crystalline Ho2Ga2Sn at its relaxed geometry (PBE).

Unit cell a=7.2437 b=7.2437 c=8.7084 alpha=90.00 beta=90.00 gamma=90.00
Atoms (fractional coordinates):
Ga 0.8768 0.6232 0.2500
Ga 0.6232 0.1232 0.2500
Ga 0.8768 0.6232 0.7500
Ga 0.1232 0.3768 0.7500
Ga 0.6232 0.1232 0.7500
Ga 0.1232 0.3768 0.2500
Ga 0.3768 0.8768 0.2500
Ga 0.3768 0.8768 0.7500
Sn 0.5000 0.5000 0.7501
Sn 0.0000 0.0000 0.2501
Sn 0.5000 0.5000 0.2499
Sn 0.0000 0.0000 0.7499
Ho 0.3269 0.1731 0.5000
Ho 0.1731 0.6731 0.0000
Ho 0.3269 0.1731 0.0000
Ho 0.8269 0.3269 0.5000
Ho 0.8269 0.3269 0.0000
Ho 0.6731 0.8269 0.5000
Ho 0.1731 0.6731 0.5000
Ho 0.6731 0.8269 0.0000

Values from the calculation:
Its energy of formation from the pure elements is -0.65 eV/atom. As for the total energy: -4.497 eV/atom. The space-group type is P4/mbm (127). For the excess energy over the best structure of this formula in the dataset, the calculation gives 0.000 kcal/mol of atoms. For the magnetization, the calculation gives 0.000 μB/cell.



[8]
Entry from Alexandria: crystalline HoGa2Sn2 at its relaxed geometry (PBE).

Unit cell a=4.6580 b=4.6554 c=10.7679 alpha=90.00 beta=102.49 gamma=90.00
Atoms (fractional coordinates):
Ga 0.5309 0.2500 0.0619
Ga 0.9625 0.2500 0.9249
Ga 0.0375 0.7500 0.0751
Ga 0.4691 0.7500 0.9381
Sn 0.1266 0.2500 0.2533
Sn 0.8734 0.7500 0.7467
Sn 0.7491 0.2500 0.4982
Sn 0.2509 0.7500 0.5018
Ho 0.3654 0.2500 0.7309
Ho 0.6345 0.7500 0.2691

Values from the calculation:
Its energy of formation from the pure elements is -0.32 eV/atom. As for the total energy: -4.045 eV/atom. The space-group type is Cmcm (63). For the magnetization, the calculation gives 0.000 μB/cell.